Entry 1:
YMgTe | PBE | optimized geometry

```
YMgTe
1.0
5.114 0.000 0.000
2.557 4.429 0.000
2.557 1.476 4.176
Mg Y Te
1 1 1
Cartesian
5.114 2.953 2.088
0.000 0.000 0.000
7.671 4.429 3.132
```

Results
The uncorrected formation energy comes out at -25 kJ/mol of atoms. The calculation puts the polymorph energy (0 for the lowest one) at 445 meV/atom. The calculation puts the energy at -3.995 eV per atom. For the density of states at the Fermi level, the calculation gives 5.0 states/eV/cell.

Entry 2:
Sm2Zn6Cu3 | PBE | optimized geometry

```
Sm2Zn6Cu3
1.0
4.181 0.000 0.000
0.000 7.376 0.000
0.000 -3.688 6.388
Zn Cu Sm
6 3 2
Cartesian
2.090 2.004 0.000
2.090 -1.002 1.736
0.000 0.739 1.280
0.000 -2.949 5.108
2.090 2.686 4.652
0.000 5.898 0.000
2.090 -2.245 3.888
2.090 4.490 0.000
2.090 1.443 2.499
0.000 3.688 2.129
0.000 0.000 4.259
```

Results
The calculation puts the energy at -2.878 eV per atom. The calculation puts the formation energy at -0.207 eV/atom. For the density of states at the Fermi level, the calculation gives 7.8 states/eV/cell.